[1]
{
  "formula": "TbCuPd5",
  "functional": "GGA-PBE",
  "state": "optimized geometry",
  "lattice_angstrom": [[4.302, 0.000, 0.000], [0.000, 4.302, 0.000], [0.000, 0.000, 6.564]],
  "species": ["Tb", "Cu", "Pd", "Pd", "Pd", "Pd", "Pd"],
  "fractional_positions": [[0.000, 0.000, 0.000], [0.500, 0.500, 0.500], [0.000, 0.500, 0.288], [0.000, 0.500, 0.712], [0.500, 0.000, 0.288], [0.500, 0.000, 0.712], [0.500, 0.500, 0.000]],
  "dft_energy_ev_per_atom": -5.342,
  "e_form_ev_per_atom": -0.386
}

[2]
{
  "formula": "SiAgHg2",
  "functional": "GGA-PBE",
  "state": "optimized geometry",
  "lattice_angstrom": [[2.942, 0.000, 0.000], [0.000, 5.324, 0.000], [0.000, 0.000, 5.400]],
  "species": ["Si", "Ag", "Hg", "Hg"],
  "fractional_positions": [[0.000, 0.000, 0.000], [0.500, 0.500, 0.000], [0.000, 0.500, 0.500], [0.500, 0.000, 0.500]],
  "dft_energy_ev_per_atom": -1.832
}

[3]
{
  "formula": "MgSnF",
  "functional": "GGA-PBE",
  "state": "optimized geometry",
  "lattice_angstrom": [[3.246, 0.000, 0.000], [-1.523, 2.871, 0.000], [-0.133, -1.860, 12.404]],
  "species": ["Mg", "Mg", "Sn", "Sn", "F", "F"],
  "fractional_positions": [[0.000, 0.000, 0.000], [0.222, 0.417, 0.643], [0.403, 0.793, 0.199], [0.489, 0.952, 0.445], [0.640, 0.291, 0.930], [0.911, 0.799, 0.714]],
  "dft_energy_ev_per_atom": -4.120,
  "de_polymorph_ev_per_atom": 0.037
}

[4]
{
  "formula": "Pm2Dy3Er3",
  "functional": "GGA-PBE",
  "state": "optimized geometry",
  "lattice_angstrom": [[5.033, 0.000, 0.000], [0.000, 5.034, 0.000], [0.000, 0.000, 20.064]],
  "species": ["Pm", "Pm", "Pm", "Pm", "Dy", "Dy", "Dy", "Dy", "Dy", "Dy", "Er", "Er", "Er", "Er", "Er", "Er"],
  "fractional_positions": [[0.000, 0.000, 0.250], [0.000, 0.000, 0.750], [0.500, 0.500, 0.250], [0.500, 0.500, 0.750], [0.000, 0.000, 0.000], [0.000, 0.500, 0.123], [0.000, 0.500, 0.877], [0.500, 0.000, 0.377], [0.500, 0.000, 0.623], [0.500, 0.500, 0.500], [0.000, 0.000, 0.500], [0.000, 0.500, 0.377], [0.000, 0.500, 0.623], [0.500, 0.000, 0.123], [0.500, 0.000, 0.877], [0.500, 0.500, 0.000]],
  "dft_energy_ev_per_atom": -4.603,
  "e_form_ev_per_atom": 0.022,
  "de_polymorph_ev_per_atom": 0.000
}

- Number 3 is which compound?
  MgSnF

Repeat the second record exactly.
{
  "formula": "SiAgHg2",
  "functional": "GGA-PBE",
  "state": "optimized geometry",
  "lattice_angstrom": [[2.942, 0.000, 0.000], [0.000, 5.324, 0.000], [0.000, 0.000, 5.400]],
  "species": ["Si", "Ag", "Hg", "Hg"],
  "fractional_positions": [[0.000, 0.000, 0.000], [0.500, 0.500, 0.000], [0.000, 0.500, 0.500], [0.500, 0.000, 0.500]],
  "dft_energy_ev_per_atom": -1.832
}